## SrCoIO2 (PBE+U)

Data for a relaxed structure of SrCoIO2.

Computed properties:
SG: P4/mmm (123)
Electronic total energy, eV/cell: -18.72
Energy relative to the lowest polymorph listed for this composition, meV/atom: 662
Density, Mg/m³: 3.7

a b c (Å): 4.5114 4.5114 6.7796
angles (deg): 90.00 90.00 90.00
Sites, in units of the cell vectors:
Co 0.5000 0.5000 0.5000
I 0.0000 0.0000 0.5000
O 0.0000 0.5000 0.0000
O 0.5000 0.0000 0.0000
Sr 0.0000 0.0000 0.0000